Entry 1:
Computed, not measured: a relaxed structure of CaZrTeN2 at the PBE level of DFT.

The structure in POSCAR format:
```
CaZrTeN2
1.0
-1.9230 -3.7963 0.4935
2.1239 -1.5175 -3.3969
4.4459 -1.7869 3.5780
N Te Zr Ca
2 1 1 1
direct
0.5000 0.0000 0.0000
0.0000 0.5000 0.0000
0.0000 0.0000 0.5000
0.0000 0.0000 0.0000
0.5000 0.5000 0.5000
```

Space group   P4/mmm
Density of states at the Fermi level   3.7 states/eV/f.u.
Distance to the lowest polymorph of the same formula   0.000 eV per atom
Total magnetic moment   0.8 μB/f.u.



Entry 2:
Computed, not measured: a relaxed structure of ThSnSb at the PBE level of DFT.

The structure in POSCAR format:
```
ThSnSb
1.0
4.4651 0.0000 0.0000
0.0000 4.3834 -1.1415
0.0000 -0.0508 8.7922
Sn Sb Th
2 2 2
direct
0.7500 0.5600 0.1200
0.2500 0.4400 0.8800
0.2500 0.7503 0.5006
0.7500 0.2497 0.4994
0.7500 0.8939 0.7878
0.2500 0.1061 0.2122
```

Space group   Cmcm
Density of states at the Fermi level   1.7 states/eV/f.u.
Distance to the lowest polymorph of the same formula   0.013 eV per atom
Total magnetic moment   0.0 μB/f.u.



Entry 3:
Computed, not measured: a relaxed structure of Cu2Sn2Cl at the PBE level of DFT.

The structure in POSCAR format:
```
Cu2Sn2Cl
1.0
-0.5235 6.4376 4.3557
-6.1361 2.3374 -4.1921
-2.0193 -1.5713 2.0796
Cl Cu Sn
2 4 4
direct
0.5000 0.5000 0.0000
0.0000 0.0000 0.0000
0.1134 0.3866 0.0000
0.3866 0.8866 0.0000
0.8866 0.6134 0.0000
0.6134 0.1134 0.0000
0.8198 0.3198 0.5000
0.6802 0.8198 0.5000
0.3198 0.1802 0.5000
0.1802 0.6802 0.5000
```

Space group   P4/mbm
Density of states at the Fermi level   1.8 states/eV/f.u.
Distance to the lowest polymorph of the same formula   0.025 eV per atom
Total magnetic moment   0.0 μB/f.u.



Entry 4:
Computed, not measured: a relaxed structure of KAs2Pt at the PBE level of DFT.

The structure in POSCAR format:
```
KAs2Pt
1.0
5.8024 0.0225 0.0092
5.0146 2.9193 0.0092
2.5041 0.6810 5.6556
As Pt K
2 1 1
direct
0.4516 0.4516 0.6032
0.0484 0.0484 0.8968
0.7500 0.7500 0.7500
0.2500 0.2500 0.2500
```

Space group   C2/m
Density of states at the Fermi level   1.3 states/eV/f.u.
Distance to the lowest polymorph of the same formula   0.198 eV per atom
Calculated formation energy   -0.247 eV per atom
Total magnetic moment   0.0 μB/f.u.



| no. | electronic total energy (eV for the cell shown) | V (Å³/atom) |
| --- | --- | --- |
| 1 | -31.89 | 22.0 |
| 2 | -34.87 | 28.6 |
| 3 | -35.81 | 20.0 |
| 4 | -17.43 | 23.8 |